This record from the Alexandria database describes a geometry-optimized Ag2PdO4 structure. The functional is PBE-GGA.

abc: 5.7733 5.7733 3.1048
angles: 90.00 90.00 121.27
Fractional positions:
Ag 0.1748 0.8252 0.0000
Ag 0.8252 0.1748 0.0000
Pd 0.5000 0.5000 0.5000
O 0.0000 0.5000 0.5000
O 0.2712 0.2712 0.0000
O 0.5000 0.0000 0.5000
O 0.7288 0.7288 0.0000

Summary:
Symmetry: Cmmm (65)
ΔE to the lowest computed polymorph: 189 meV per atom

---

This record from the Alexandria database describes a geometry-optimized AgPd2O structure. The functional is PBE-GGA.

abc: 7.7338 7.7338 7.7338
angles: 21.97 21.97 21.97
Fractional positions:
Ag 0.0000 0.0000 0.0000
Pd 0.2326 0.2326 0.2326
Pd 0.7674 0.7674 0.7674
O 0.5000 0.5000 0.5000

Summary:
Total energy: -4.4838 eV/atom
Symmetry: R-3m (166)

---

This record from the Alexandria database describes a geometry-optimized AgPdO3 structure. The functional is PBE-GGA.

abc: 6.4893 6.4893 6.8157
angles: 90.00 90.00 111.71
Fractional positions:
Ag 0.0084 0.9916 0.7500
Ag 0.3821 0.6179 0.7500
Ag 0.6179 0.3821 0.2500
Ag 0.9916 0.0084 0.2500
Pd 0.0000 0.5000 0.0000
Pd 0.0000 0.5000 0.5000
Pd 0.5000 0.0000 0.0000
Pd 0.5000 0.0000 0.5000
O 0.1585 0.8415 0.0047
O 0.1585 0.8415 0.4953
O 0.1660 0.4799 0.2500
O 0.2531 0.3132 0.2500
O 0.3132 0.2531 0.7500
O 0.4799 0.1660 0.7500
O 0.5201 0.8340 0.2500
O 0.6868 0.7469 0.2500
O 0.7469 0.6868 0.7500
O 0.8340 0.5201 0.7500
O 0.8415 0.1585 0.5047
O 0.8415 0.1585 0.9953

Summary:
Total energy: -4.6446 eV/atom
Symmetry: Cmcm (63)

---

This record from the Alexandria database describes a geometry-optimized AgPdO2 structure. The functional is PBE-GGA.

abc: 6.2962 3.0802 6.4516
angles: 90.00 117.67 90.00
Fractional positions:
Ag 0.0000 0.0000 0.0000
Ag 0.0000 0.0000 0.5000
Pd 0.5000 0.0000 0.0000
Pd 0.5000 0.5000 0.5000
O 0.2600 0.0000 0.3605
O 0.4054 0.5000 0.7660
O 0.5946 0.5000 0.2340
O 0.7400 0.0000 0.6395

Summary:
Total energy: -4.7903 eV/atom
Symmetry: P2/m (10)

---

This record from the Alexandria database describes a geometry-optimized AgPdO structure. The functional is PBE-GGA.

abc: 3.0134 5.1532 6.0397
angles: 84.81 79.45 77.31
Fractional positions:
Ag 0.0000 0.0000 0.0000
Ag 0.3586 0.4619 0.8177
Pd 0.0225 0.0127 0.4840
Pd 0.6399 0.5524 0.2041
O 0.4257 0.2812 0.4751
O 0.6176 0.7446 0.5017

Summary:
Symmetry: P1 (1)
ΔE to the lowest computed polymorph: 0 meV per atom

---

This record from the Alexandria database describes a geometry-optimized AgPd3O6 structure. The functional is PBE-GGA.

abc: 5.7570 5.7570 5.7570
angles: 55.67 55.67 55.67
Fractional positions:
Ag 0.0000 0.0000 0.0000
Pd 0.2050 0.2050 0.2050
Pd 0.5178 0.5178 0.5178
Pd 0.7156 0.7156 0.7156
O 0.1169 0.8031 0.4330
O 0.3350 0.5756 0.9130
O 0.4330 0.1169 0.8031
O 0.5756 0.9130 0.3350
O 0.8031 0.4330 0.1169
O 0.9130 0.3350 0.5756

Summary:
Symmetry: R3 (146)
ΔE to the lowest computed polymorph: 129 meV per atom

---

This record from the Alexandria database describes a geometry-optimized AgPdO structure. The functional is PBE-GGA.

abc: 3.0613 3.0613 5.2856
angles: 90.00 90.00 120.00
Fractional positions:
Ag 0.0000 0.0000 0.0000
Pd 0.6667 0.3333 0.5858
O 0.3333 0.6667 0.3603

Summary:
Symmetry: P3m1 (156)
ΔE to the lowest computed polymorph: 97 meV per atom

---

This record from the Alexandria database describes a geometry-optimized AgPdO2 structure. The functional is PBE-GGA.

abc: 4.0324 4.0324 4.0324
angles: 60.00 60.00 60.00
Fractional positions:
Ag 0.0000 0.0000 0.0000
Pd 0.5000 0.5000 0.5000
O 0.2500 0.2500 0.2500
O 0.7500 0.7500 0.7500

Summary:
Total energy: -4.1499 eV/atom
Symmetry: Fm-3m (225)

---

This record from the Alexandria database describes a geometry-optimized Ag2Pd3O8 structure. The functional is PBE-GGA.

abc: 6.2553 6.2553 5.2625
angles: 104.14 104.14 59.46
Fractional positions:
Ag 0.2140 0.2140 0.1166
Ag 0.7860 0.7860 0.8834
Pd 0.2464 0.7536 0.5000
Pd 0.5000 0.5000 0.0000
Pd 0.7536 0.2464 0.5000
O 0.1029 0.1029 0.4245
O 0.1671 0.6070 0.1217
O 0.3930 0.8329 0.8783
O 0.4020 0.4020 0.6079
O 0.5980 0.5980 0.3921
O 0.6070 0.1671 0.1217
O 0.8329 0.3930 0.8783
O 0.8971 0.8971 0.5755

Summary:
Total energy: -4.9242 eV/atom
Symmetry: C2/m (12)

---

This record from the Alexandria database describes a geometry-optimized Ag3Pd2O4 structure. The functional is PBE-GGA.

abc: 6.8145 6.8145 5.9406
angles: 100.37 100.37 96.55
Fractional positions:
Ag 0.0845 0.9155 0.7500
Ag 0.2863 0.5425 0.4973
Ag 0.4575 0.7137 0.0027
Ag 0.5425 0.2863 0.9973
Ag 0.7137 0.4575 0.5027
Ag 0.9155 0.0845 0.2500
Pd 0.0006 0.3109 0.8053
Pd 0.3109 0.0006 0.3053
Pd 0.6891 0.9994 0.6947
Pd 0.9994 0.6891 0.1947
O 0.1400 0.6174 0.9258
O 0.1417 0.2602 0.5344
O 0.2602 0.1417 0.0344
O 0.3826 0.8600 0.5742
O 0.6174 0.1400 0.4258
O 0.7398 0.8583 0.9656
O 0.8583 0.7398 0.4656
O 0.8600 0.3826 0.0742

Summary:
Total energy: -4.3425 eV/atom
Symmetry: C2/c (15)

---

This record from the Alexandria database describes a geometry-optimized AgPdO3 structure. The functional is PBE-GGA.

abc: 5.4622 5.4622 5.4577
angles: 95.07 95.07 122.91
Fractional positions:
Ag 0.1431 0.8569 0.0000
Ag 0.8569 0.1431 0.0000
Pd 0.3418 0.6582 0.5000
Pd 0.6582 0.3418 0.5000
O 0.0299 0.4298 0.7194
O 0.3161 0.3161 0.2972
O 0.4298 0.0299 0.7194
O 0.5702 0.9701 0.2806
O 0.6839 0.6839 0.7028
O 0.9701 0.5702 0.2806

Summary:
Total energy: -4.6985 eV/atom
Symmetry: C2/m (12)

---

This record from the Alexandria database describes a geometry-optimized AgPd4O8 structure. The functional is PBE-GGA.

abc: 6.6958 6.6958 6.6958
angles: 55.44 55.44 55.44
Fractional positions:
Ag 0.0000 0.0000 0.0000
Pd 0.0000 0.0000 0.5000
Pd 0.0000 0.5000 0.0000
Pd 0.5000 0.0000 0.0000
Pd 0.5000 0.5000 0.5000
O 0.2130 0.7354 0.7354
O 0.2255 0.2255 0.2255
O 0.2646 0.2646 0.7870
O 0.2646 0.7870 0.2646
O 0.7354 0.2130 0.7354
O 0.7354 0.7354 0.2130
O 0.7745 0.7745 0.7745
O 0.7870 0.2646 0.2646

Summary:
Symmetry: R-3m (166)
ΔE to the lowest computed polymorph: 0 meV per atom